Entry 1:
A plane-wave DFT calculation with GGA-PBE was carried out for a relaxed YCoTc crystal.

Geometry as POSCAR:
```
YCoTc
1.0
4.376 -2.702 0.000
4.376 2.702 0.000
-1.536 0.000 4.601
Y Co Tc
2 2 2
direct
0.138 0.138 0.371
0.862 0.862 0.629
0.000 0.500 0.000
0.500 0.000 0.000
0.480 0.480 0.249
0.520 0.520 0.751
```

## Properties
Energy relative to the lowest polymorph listed for this composition (eV per atom): 0.271
Total magnetic moment (Bohr magnetons per cell): 1.2
Space group: C2/m (12)
Raw total energy (eV/atom): -7.86
Theoretical density (g/cm³): 7.50
Energy of formation from the pure elements (eV/atom): 0.12

Entry 2:
A plane-wave DFT calculation with GGA-PBE was carried out for a relaxed YCoTc crystal.

Geometry as POSCAR:
```
YCoTc
1.0
-2.492 2.713 3.807
2.492 -2.713 3.807
2.492 2.713 -3.807
Y Co Tc
2 2 2
direct
0.371 0.121 0.250
0.629 0.879 0.750
0.000 0.500 0.500
0.500 0.500 0.000
0.000 0.000 0.500
0.000 0.500 0.000
```

## Properties
Energy relative to the lowest polymorph listed for this composition (eV per atom): 0.000
Total magnetic moment (Bohr magnetons per cell): 2.2
Space group: Imma (74)
Raw total energy (eV/atom): -8.13
Theoretical density (g/cm³): 7.93
Energy of formation from the pure elements (eV/atom): -0.15

Entry 3:
A plane-wave DFT calculation with GGA-PBE was carried out for a relaxed YCo2Tc crystal.

Geometry as POSCAR:
```
YCo2Tc
1.0
2.036 1.176 4.831
-2.036 1.176 4.831
0.000 -2.351 4.831
Y Co Tc
1 2 1
direct
0.000 0.000 0.000
0.198 0.198 0.198
0.802 0.802 0.802
0.500 0.500 0.500
```

## Properties
Energy relative to the lowest polymorph listed for this composition (eV per atom): 0.000
Total magnetic moment (Bohr magnetons per cell): 0.0
Space group: R-3m (166)
Raw total energy (eV/atom): -7.77
Theoretical density (g/cm³): 7.29
Energy of formation from the pure elements (eV/atom): -0.01

Entry 4:
A plane-wave DFT calculation with GGA-PBE was carried out for a relaxed Y2CoTc crystal.

Geometry as POSCAR:
```
Y2CoTc
1.0
-3.709 3.709 3.021
3.709 -3.709 3.021
3.709 3.709 -3.021
Y Co Tc
4 2 2
direct
0.100 0.125 0.475
0.375 0.900 0.025
0.650 0.625 0.525
0.875 0.350 0.975
0.000 0.000 0.000
0.750 0.250 0.500
0.250 0.750 0.500
0.500 0.500 0.000
```

## Properties
Total magnetic moment (Bohr magnetons per cell): 3.5
Space group: I-42d (122)
Raw total energy (eV/atom): -7.11
Theoretical density (g/cm³): 6.69
Energy of formation from the pure elements (eV/atom): 0.49

Entry 5:
A plane-wave DFT calculation with GGA-PBE was carried out for a relaxed YCoTc crystal.

Geometry as POSCAR:
```
YCoTc
1.0
0.000 2.248 5.395
2.166 0.000 5.395
2.166 2.248 0.000
Y Co Tc
1 1 1
direct
0.000 0.000 0.000
0.698 0.698 0.302
0.297 0.297 0.703
```

## Properties
Energy relative to the lowest polymorph listed for this composition (eV per atom): 0.317
Total magnetic moment (Bohr magnetons per cell): 0.0
Space group: Fmm2 (42)
Raw total energy (eV/atom): -7.82
Theoretical density (g/cm³): 7.77
Energy of formation from the pure elements (eV/atom): 0.16

Entry 6:
A plane-wave DFT calculation with GGA-PBE was carried out for a relaxed Y3CoTc crystal.

Geometry as POSCAR:
```
Y3CoTc
1.0
5.063 0.000 0.000
0.000 5.063 0.000
0.000 0.000 5.063
Y Co Tc
3 1 1
direct
0.000 0.000 0.500
0.000 0.500 0.000
0.500 0.000 0.000
0.000 0.000 0.000
0.500 0.500 0.500
```

## Properties
Energy relative to the lowest polymorph listed for this composition (eV per atom): 0.000
Total magnetic moment (Bohr magnetons per cell): 1.7
Space group: Pm-3m (221)
Raw total energy (eV/atom): -6.91
Theoretical density (g/cm³): 5.42
Energy of formation from the pure elements (eV/atom): 0.46

Entry 7:
A plane-wave DFT calculation with GGA-PBE was carried out for a relaxed Y2CoTc crystal.

Geometry as POSCAR:
```
Y2CoTc
1.0
-1.691 2.331 5.244
1.691 -2.331 5.244
1.691 2.331 -5.244
Y Co Tc
2 1 1
direct
0.000 0.000 0.000
0.718 0.218 0.500
0.448 0.448 0.000
0.280 0.780 0.500
```

## Properties
Total magnetic moment (Bohr magnetons per cell): 1.7
Space group: Imm2 (44)
Raw total energy (eV/atom): -7.53
Theoretical density (g/cm³): 6.72
Energy of formation from the pure elements (eV/atom): 0.07

Entry 8:
A plane-wave DFT calculation with GGA-PBE was carried out for a relaxed YCo2Tc crystal.

Geometry as POSCAR:
```
YCo2Tc
1.0
-2.248 2.248 7.727
2.248 -2.248 7.727
2.248 2.248 -7.727
Y Co Tc
2 4 2
direct
0.000 0.000 0.000
0.750 0.250 0.500
0.303 0.625 0.178
0.375 0.553 0.678
0.447 0.125 0.822
0.875 0.697 0.322
0.250 0.750 0.500
0.500 0.500 0.000
```

## Properties
Energy relative to the lowest polymorph listed for this composition (eV per atom): 0.527
Total magnetic moment (Bohr magnetons per cell): 0.0
Space group: I-42d (122)
Raw total energy (eV/atom): -7.24
Theoretical density (g/cm³): 6.48
Energy of formation from the pure elements (eV/atom): 0.52

Entry 9:
A plane-wave DFT calculation with GGA-PBE was carried out for a relaxed Y4CoTc crystal.

Geometry as POSCAR:
```
Y4CoTc
1.0
0.000 4.207 4.207
4.207 0.000 4.207
4.207 4.207 0.000
Y Co Tc
4 1 1
direct
0.125 0.125 0.125
0.125 0.125 0.624
0.125 0.624 0.125
0.624 0.125 0.125
0.750 0.750 0.750
0.500 0.500 0.500
```

## Properties
Total magnetic moment (Bohr magnetons per cell): 1.3
Space group: F-43m (216)
Raw total energy (eV/atom): -6.10
Theoretical density (g/cm³): 5.71
Energy of formation from the pure elements (eV/atom): 1.12

Entry 10:
A plane-wave DFT calculation with GGA-PBE was carried out for a relaxed YCo2Tc crystal.

Geometry as POSCAR:
```
YCo2Tc
1.0
0.000 3.147 3.147
3.147 0.000 3.147
3.147 3.147 0.000
Y Co Tc
1 2 1
direct
0.000 0.000 0.000
0.500 0.500 0.500
0.750 0.750 0.750
0.250 0.250 0.250
```

## Properties
Energy relative to the lowest polymorph listed for this composition (eV per atom): 0.388
Total magnetic moment (Bohr magnetons per cell): 4.2
Space group: F-43m (216)
Raw total energy (eV/atom): -7.38
Theoretical density (g/cm³): 8.12
Energy of formation from the pure elements (eV/atom): 0.38

Entry 11:
A plane-wave DFT calculation with GGA-PBE was carried out for a relaxed YCo2Tc crystal.

Geometry as POSCAR:
```
YCo2Tc
1.0
4.413 0.000 0.000
0.000 4.413 0.000
0.000 0.000 3.199
Y Co Tc
1 2 1
direct
0.000 0.000 0.000
0.000 0.500 0.500
0.500 0.000 0.500
0.500 0.500 0.000
```

## Properties
Energy relative to the lowest polymorph listed for this composition (eV per atom): 0.189
Total magnetic moment (Bohr magnetons per cell): 4.0
Space group: P4/mmm (123)
Raw total energy (eV/atom): -7.58
Theoretical density (g/cm³): 8.13
Energy of formation from the pure elements (eV/atom): 0.18

Entry 12:
A plane-wave DFT calculation with GGA-PBE was carried out for a relaxed YCo2Tc crystal.

Geometry as POSCAR:
```
YCo2Tc
1.0
-1.885 1.885 4.445
1.885 -1.885 4.445
1.885 1.885 -4.445
Y Co Tc
1 2 1
direct
0.000 0.000 0.000
0.250 0.750 0.500
0.500 0.500 0.000
0.750 0.250 0.500
```

## Properties
Energy relative to the lowest polymorph listed for this composition (eV per atom): 0.377
Total magnetic moment (Bohr magnetons per cell): 3.6
Space group: I-4m2 (119)
Raw total energy (eV/atom): -7.39
Theoretical density (g/cm³): 8.01
Energy of formation from the pure elements (eV/atom): 0.37

Entry 13:
A plane-wave DFT calculation with GGA-PBE was carried out for a relaxed Y8Co2Tc crystal.

Geometry as POSCAR:
```
Y8Co2Tc
1.0
4.125 -6.219 0.000
4.125 6.219 0.000
-1.784 0.000 5.529
Y Co Tc
8 2 1
direct
0.000 0.000 0.000
0.030 0.288 0.586
0.139 0.575 0.185
0.288 0.030 0.586
0.433 0.691 0.775
0.575 0.139 0.185
0.691 0.433 0.775
0.723 0.723 0.376
0.054 0.674 0.691
0.674 0.054 0.691
0.361 0.361 0.284
```

## Properties
Total magnetic moment (Bohr magnetons per cell): 0.0
Space group: Cm (8)
Raw total energy (eV/atom): -6.94
Theoretical density (g/cm³): 5.43
Energy of formation from the pure elements (eV/atom): -0.01

Entry 14:
A plane-wave DFT calculation with GGA-PBE was carried out for a relaxed YCo2Tc crystal.

Geometry as POSCAR:
```
YCo2Tc
1.0
-1.509 2.266 4.560
1.509 -2.266 4.560
1.509 2.266 -4.560
Y Co Tc
1 2 1
direct
0.000 0.000 0.000
0.274 0.774 0.500
0.489 0.489 0.000
0.719 0.219 0.500
```

## Properties
Energy relative to the lowest polymorph listed for this composition (eV per atom): 0.286
Total magnetic moment (Bohr magnetons per cell): 3.3
Space group: Imm2 (44)
Raw total energy (eV/atom): -7.48
Theoretical density (g/cm³): 8.11
Energy of formation from the pure elements (eV/atom): 0.28